# 1
A relaxed Li2ZnRu crystal. Source: Alexandria via LeMat-Bulk, functional PBEsol.

CIF file:
```
data_Li2ZnRu
_chemical_formula_sum 'Li2 Zn1 Ru1'
_space_group_name_H-M_alt 'P m m m'
_space_group_IT_number 47
_space_group_name_Hall '-P 2 2'
_cell_length_a 2.687
_cell_length_b 4.382
_cell_length_c 4.486
_cell_angle_alpha 90.00
_cell_angle_beta 90.00
_cell_angle_gamma 90.00
loop_
_atom_site_label
_atom_site_type_symbol
_atom_site_fract_x
_atom_site_fract_y
_atom_site_fract_z
Li1 Li 0.000 0.000 0.000
Li2 Li 0.500 0.500 0.000
Zn1 Zn 0.000 0.500 0.500
Ru1 Ru 0.500 0.000 0.500
```

Summary:
**Calculated volume**: 53 Å³/cell
**Energy relative to the elements**: 0.040 eV per atom
**M_tot**: 0.001 μB/f.u.


# 2
A relaxed ScFe2Pt crystal. Source: Alexandria via LeMat-Bulk, functional PBEsol.

CIF file:
```
data_ScFe2Pt
_chemical_formula_sum 'Sc1 Fe2 Pt1'
_space_group_name_H-M_alt 'P m m m'
_space_group_IT_number 47
_space_group_name_Hall '-P 2 2'
_cell_length_a 2.729
_cell_length_b 4.000
_cell_length_c 5.205
_cell_angle_alpha 90.00
_cell_angle_beta 90.00
_cell_angle_gamma 90.00
loop_
_atom_site_label
_atom_site_type_symbol
_atom_site_fract_x
_atom_site_fract_y
_atom_site_fract_z
Sc1 Sc 0.000 0.000 0.000
Fe1 Fe 0.500 0.500 0.257
Pt1 Pt 0.000 0.000 0.500
```

Summary:
**Calculated volume**: 57 Å³/cell
**Energy relative to the elements**: -0.131 eV per atom
**M_tot**: 4.875 μB/f.u.